This record from the Alexandria database describes CsCd3Mo after structural relaxation. The functional is PBE-GGA.

Values from the calculation:
The calculation puts the total energy at -11.48 eV/cell. Its total magnetic moment is 3.3 μB/f.u. The calculation puts the formation energy at 2.95 eV per formula unit.

Cell lengths 5.610, 5.610, 5.610 Å; angles 90.00, 90.00, 90.00 degrees
Space group Pm-3m (No. 221)
Asymmetric unit:
Cs1 0.000 0.000 0.000
Cd1 0.000 0.500 0.500
Mo1 0.500 0.500 0.500